No. 1
LaGaCuO2 after structural relaxation. Source: Alexandria, functional GGA-PBE.

Lattice parameters (Å, degrees): 4.2379 4.2379 4.3319 90.00 90.00 90.00
Fractional positions:
La 0.0000 0.0000 0.0000
Ga 0.5000 0.5000 0.0000
Cu 0.5000 0.5000 0.5000
O 0.0000 0.5000 0.5000
O 0.5000 0.0000 0.5000

Results
- space group = No. 123
- calculated total energy (eV/atom) = -5.13
- formation energy (no corrections) (eV per formula unit) = -3.71
- magnetization (μB/cell) = 0.000

No. 2
MnCr2C after structural relaxation. Source: Alexandria, functional GGA-PBE.

Lattice parameters (Å, degrees): 5.0397 5.0397 5.0397 98.84 98.84 133.84
Fractional positions:
Mn 0.0000 0.0000 0.0000
Mn 0.7500 0.2500 0.5000
Cr 0.2332 0.6250 0.1082
Cr 0.3750 0.4832 0.6082
Cr 0.5168 0.1250 0.8918
Cr 0.8750 0.7668 0.3918
C 0.2500 0.7500 0.5000
C 0.5000 0.5000 0.0000

Results
- space group = No. 122
- calculated total energy (eV/atom) = -9.15
- ΔE_f (kJ/mol of atoms) = 25.0
- magnetization (μB/cell) = 0.005

No. 3
ScFe2 after structural relaxation. Source: Alexandria, functional GGA-PBE.

Lattice parameters (Å, degrees): 5.4760 5.4760 5.4760 130.19 130.19 73.11
Fractional positions:
Sc 0.2500 0.2500 0.0000
Sc 0.7500 0.7500 0.0000
Fe 0.1905 0.6905 0.8810
Fe 0.3095 0.1905 0.5000
Fe 0.6905 0.8095 0.5000
Fe 0.8095 0.3095 0.1190

Results
- space group = No. 140
- calculated total energy (eV/atom) = -7.65
- ΔE_f (kJ/mol of atoms) = 9.6
- magnetization (μB/cell) = 6.056

No. 4
Li3Pu2Cl8 after structural relaxation. Source: Alexandria, functional GGA-PBE.

Lattice parameters (Å, degrees): 7.9029 7.9029 6.4840 106.80 106.80 56.70
Fractional positions:
Li 0.0000 0.0000 0.0000
Li 0.2592 0.7408 0.5000
Li 0.7408 0.2592 0.5000
Pu 0.2608 0.2608 0.8174
Pu 0.7392 0.7392 0.1826
Cl 0.1062 0.1062 0.4148
Cl 0.1163 0.6472 0.0871
Cl 0.3528 0.8837 0.9129
Cl 0.3874 0.3874 0.5721
Cl 0.6126 0.6126 0.4279
Cl 0.6472 0.1163 0.0871
Cl 0.8837 0.3528 0.9129
Cl 0.8938 0.8938 0.5852

Results
- space group = No. 12
- calculated total energy (eV/atom) = -5.61
- formation energy (no corrections) (eV per formula unit) = -23.70
- magnetization (μB/cell) = 11.000